The following is a DFT calculation (PBE) of crystalline PaSiRh at its relaxed geometry.

```
data_PaSiRh
_symmetry_space_group_name_H-M 'I m m m'
_symmetry_Int_Tables_number 71
_symmetry_space_group_name_Hall '-I 2 2'
_cell_length_a 4.274
_cell_length_b 7.224
_cell_length_c 7.342
_cell_angle_alpha 90.00
_cell_angle_beta 90.00
_cell_angle_gamma 90.00
loop_
_atom_site_label
_atom_site_fract_x
_atom_site_fract_y
_atom_site_fract_z
Pa1 0.000 0.235 0.000
Si1 0.000 0.000 0.342
Rh1 0.000 0.500 0.310
```

Calculated values
VASP energy ... -98.73 eV per cell
Theoretical density ... 10.609 g cm⁻³